# Zn2PbBr PBE-GGA relaxed
# ΔE to the lowest computed polymorph = 117 meV per atom
# energy = -1.944 eV per atom
# crystal system = monoclinic
# uncorrected formation energy = 0.15 eV per formula unit
data_Zn2PbBr
_chemical_formula_sum 'Zn2 Pb1 Br1'
_cell_length_a 5.2029
_cell_length_b 3.8144
_cell_length_c 6.0178
_cell_angle_alpha 90.00
_cell_angle_beta 115.46
_cell_angle_gamma 90.00
_symmetry_space_group_name_H-M 'P 1 2/m 1'
_symmetry_Int_Tables_number 10
loop_
_symmetry_equiv_pos_as_xyz
'x,y,z'
'-x,-y,-z'
'-x,y,-z'
'x,-y,z'
loop_
_atom_site_label
_atom_site_type_symbol
_atom_site_fract_x
_atom_site_fract_y
_atom_site_fract_z
_atom_site_occupancy
Zn1 Zn 0.2049 0.0000 0.2202 1
Pb1 Pb 0.0000 0.5000 0.5000 1
Br1 Br 0.5000 0.5000 0.0000 1

# CuAs2Br PBE-GGA relaxed
# ΔE to the lowest computed polymorph = 267 meV per atom
# energy = -3.525 eV per atom
# crystal system = orthorhombic
# uncorrected formation energy = 0.97 eV per formula unit
data_CuAs2Br
_chemical_formula_sum 'Cu2 As4 Br2'
_cell_length_a 4.0951
_cell_length_b 4.9468
_cell_length_c 8.6210
_cell_angle_alpha 90.00
_cell_angle_beta 90.00
_cell_angle_gamma 90.00
_symmetry_space_group_name_H-M 'C m m m'
_symmetry_Int_Tables_number 65
_symmetry_space_group_name_Hall '-C 2 2'
loop_
_atom_site_label
_atom_site_type_symbol
_atom_site_fract_x
_atom_site_fract_y
_atom_site_fract_z
_atom_site_occupancy
Cu1 Cu 0.0000 0.0000 0.0000 1
As1 As 0.0000 0.5000 0.1574 1
Br1 Br 0.0000 0.0000 0.5000 1

# VGe3S PBE-GGA relaxed
# ΔE to the lowest computed polymorph = 0 meV per atom
# energy = -4.931 eV per atom
# crystal system = cubic
# uncorrected formation energy = 2.44 eV per formula unit
data_VGe3S
_chemical_formula_sum 'V1 Ge3 S1'
_cell_length_a 4.7911
_cell_length_b 4.7911
_cell_length_c 4.7911
_cell_angle_alpha 90.00
_cell_angle_beta 90.00
_cell_angle_gamma 90.00
_symmetry_space_group_name_H-M 'P m -3 m'
_symmetry_Int_Tables_number 221
_symmetry_space_group_name_Hall '-P 4 2 3'
loop_
_atom_site_label
_atom_site_type_symbol
_atom_site_fract_x
_atom_site_fract_y
_atom_site_fract_z
_atom_site_occupancy
V1 V 0.0000 0.0000 0.0000 1
Ge1 Ge 0.0000 0.0000 0.5000 1
S1 S 0.5000 0.5000 0.5000 1